DFT (GGA-PBEsol) results for a relaxed BePSe2 crystal.

Cell lengths 4.4697, 4.4697, 4.4697 Å; angles 60.00, 60.00, 60.00 degrees
Fractional positions:
P 0.5000 0.5000 0.5000
Be 0.0000 0.0000 0.0000
Se 0.2500 0.2500 0.2500
Se 0.7500 0.7500 0.7500

Relative energy among the computed polymorphs   26.7 kJ per mole of atoms
E_form (uncorrected)   548 meV per atom
Symmetry   Fm-3m, No. 225